VASP calculation (GGA-PBE) on an optimized crystal structure of Ho4CdAg2.

Summary:
symmetry: R-3m (166)
crystal system: trigonal
DFT formation energy: -2 kJ/mol of atoms
distance to the lowest polymorph of the same formula: 148.6 meV per atom

Cell lengths 9.7167, 9.7167, 9.7167 Å; angles 29.65, 29.65, 29.65 degrees
Positions (direct):
Ho 0.1202 0.1202 0.1202
Ho 0.2944 0.2944 0.2944
Ho 0.7056 0.7056 0.7056
Ho 0.8798 0.8798 0.8798
Cd 0.5000 0.5000 0.5000
Ag 0.4004 0.4004 0.4004
Ag 0.5996 0.5996 0.5996

VASP calculation (GGA-PBE) on an optimized crystal structure of HoCd6Ag.

Summary:
symmetry: P4/mmm (123)
crystal system: tetragonal
DFT formation energy: -14 kJ/mol of atoms

Cell lengths 4.6410, 4.6410, 8.2299 Å; angles 90.00, 90.00, 90.00 degrees
Positions (direct):
Ho 0.0000 0.0000 0.0000
Cd 0.0000 0.5000 0.2643
Cd 0.0000 0.5000 0.7357
Cd 0.5000 0.0000 0.2643
Cd 0.5000 0.0000 0.7357
Cd 0.5000 0.5000 0.0000
Cd 0.5000 0.5000 0.5000
Ag 0.0000 0.0000 0.5000